# 1
BaFeHg | GGA-PBE | relaxed

Cell: 7.1218 7.1218 7.1218 Å, 90.00 90.00 90.00°
Space group F-43m (No. 216)
Asymmetric unit:
1 Ba 0.0000 0.0000 0.0000 [4 per cell]
2 Fe 0.2500 0.2500 0.2500 [4 per cell]
3 Hg 0.0000 0.0000 0.5000 [4 per cell]

Computed properties:
energy of formation = 0.48 eV per atom
polymorph energy (0 for the lowest one) = 25.80 kJ per mole of atoms

=====

# 2
Er6Bi2Os | GGA-PBE | relaxed

Cell: 6.4070 7.9091 11.9773 Å, 90.00 120.16 90.00°
Space group P2_1/c (No. 14)
Asymmetric unit:
1 Er 0.0994 0.1827 0.4595 [4 per cell]
2 Er 0.3193 0.6816 0.4578 [4 per cell]
3 Er 0.3801 0.0219 0.2504 [4 per cell]
4 Bi 0.1503 0.1142 0.7487 [4 per cell]
5 Os 0.5000 0.0000 0.5000 [2 per cell]

Computed properties:
energy of formation = -0.37 eV per atom

=====

# 3
BaReSe | GGA-PBE | relaxed

Cell: 7.7157 7.7157 7.7157 Å, 90.00 90.00 90.00°
Space group F-43m (No. 216)
Asymmetric unit:
1 Ba 0.0000 0.0000 0.0000 [4 per cell]
2 Re 0.2500 0.2500 0.2500 [4 per cell]
3 Se 0.2500 0.2500 0.7500 [4 per cell]

Computed properties:
polymorph energy (0 for the lowest one) = 111.98 kJ per mole of atoms

=====

# 4
Ho12Tm5Cd3 | GGA-PBE | relaxed

Cell: 18.3805 18.3805 18.3805 Å, 90.00 90.00 90.00°
Space group Ia-3d (No. 230)
Asymmetric unit:
1 Ho 0.0025 0.0824 0.6489 [96 per cell]
2 Tm 0.0000 0.0000 0.0000 [16 per cell]
3 Tm 0.0000 0.2500 0.3750 [24 per cell]
4 Cd 0.0000 0.2500 0.1250 [24 per cell]

Computed properties:
energy of formation = 0.87 eV per atom

=====

# 5
ZrGaFeCu | GGA-PBE | relaxed

Cell: 6.2031 6.2031 6.2031 Å, 90.00 90.00 90.00°
Space group F-43m (No. 216)
Asymmetric unit:
1 Zr 0.0000 0.0000 0.0000 [4 per cell]
2 Ga 0.0000 0.0000 0.5000 [4 per cell]
3 Fe 0.2500 0.2500 0.7500 [4 per cell]
4 Cu 0.2500 0.2500 0.2500 [4 per cell]

Computed properties:
energy of formation = -0.17 eV per atom

=====

# 6
SrCuMo2 | GGA-PBE | relaxed

Cell: 4.6218 4.6218 18.9218 Å, 90.00 90.00 90.00°
Space group I-42d (No. 122)
Asymmetric unit:
1 Sr 0.0000 0.0000 0.0000 [4 per cell]
2 Cu 0.0000 0.0000 0.5000 [4 per cell]
3 Mo 0.0219 0.7500 0.6250 [8 per cell]

Computed properties:
energy of formation = 1.09 eV per atom
polymorph energy (0 for the lowest one) = 60.12 kJ per mole of atoms

=====

Number 1: calculated volume 361.23 Å³/cell. Number 2: calculated volume 524.77 Å³/cell. Number 3: calculated volume 459.34 Å³/cell. Number 4: calculated volume 6209.73 Å³/cell. Number 5: calculated volume 238.69 Å³/cell. Number 6: calculated volume 404.20 Å³/cell.